1.
# TcOsN2 | the Alexandria database | SCAN | PBEsol geometry
data_TcOsN2
_cell_length_a 6.733
_cell_length_b 6.733
_cell_length_c 6.733
_cell_angle_alpha 23.39
_cell_angle_beta 23.39
_cell_angle_gamma 23.39
_space_group_name_H-M_alt 'P 1'
_space_group_IT_number 1
loop_
_space_group_symop_operation_xyz
'x,y,z'
loop_
_atom_site_label
_atom_site_type_symbol
_atom_site_fract_x
_atom_site_fract_y
_atom_site_fract_z
Tc1 Tc 0.000 0.000 0.000
Os1 Os 0.500 0.500 0.500
N1 N 0.401 0.401 0.401
N2 N 0.599 0.599 0.599
# - final energy (eV/atom) = -31.16
# - total magnetization (μB per formula unit) = 0.000
# - space group = No. 166
# - formation energy (no corrections) (eV per atom) = 0.219
# - energy above the lowest structure with this stoichiometry (meV/atom) = 0



2.
# TcOsN2 | the Alexandria database | SCAN | PBEsol geometry
data_TcOsN2
_cell_length_a 3.771
_cell_length_b 3.771
_cell_length_c 3.771
_cell_angle_alpha 60.00
_cell_angle_beta 60.00
_cell_angle_gamma 60.00
_space_group_name_H-M_alt 'P 1'
_space_group_IT_number 1
loop_
_space_group_symop_operation_xyz
'x,y,z'
loop_
_atom_site_label
_atom_site_type_symbol
_atom_site_fract_x
_atom_site_fract_y
_atom_site_fract_z
Tc1 Tc 0.000 0.000 0.000
Os1 Os 0.500 0.500 0.500
N1 N 0.250 0.250 0.250
N2 N 0.750 0.750 0.750
# - final energy (eV/atom) = -30.14
# - total magnetization (μB per formula unit) = 0.000
# - space group = No. 225
# - formation energy (no corrections) (eV per atom) = 1.245
# - energy above the lowest structure with this stoichiometry (meV/atom) = 1027



3.
# TiTe2OsN | the Alexandria database | SCAN | PBEsol geometry
data_TiTe2OsN
_cell_length_a 5.366
_cell_length_b 5.366
_cell_length_c 3.645
_cell_angle_alpha 90.00
_cell_angle_beta 90.00
_cell_angle_gamma 90.00
_space_group_name_H-M_alt 'P 1'
_space_group_IT_number 1
loop_
_space_group_symop_operation_xyz
'x,y,z'
loop_
_atom_site_label
_atom_site_type_symbol
_atom_site_fract_x
_atom_site_fract_y
_atom_site_fract_z
Ti1 Ti 0.000 0.000 0.000
Te1 Te 0.000 0.500 0.500
Te2 Te 0.500 0.000 0.500
Os1 Os 0.500 0.500 0.500
N1 N 0.500 0.500 0.000
# - final energy (eV/atom) = -34.08
# - total magnetization (μB per formula unit) = 1.998
# - space group = No. 123
# - formation energy (no corrections) (eV per atom) = 0.264



4.
# TiOsN2 | the Alexandria database | SCAN | PBEsol geometry
data_TiOsN2
_cell_length_a 6.383
_cell_length_b 6.383
_cell_length_c 6.383
_cell_angle_alpha 26.07
_cell_angle_beta 26.07
_cell_angle_gamma 26.07
_space_group_name_H-M_alt 'P 1'
_space_group_IT_number 1
loop_
_space_group_symop_operation_xyz
'x,y,z'
loop_
_atom_site_label
_atom_site_type_symbol
_atom_site_fract_x
_atom_site_fract_y
_atom_site_fract_z
Ti1 Ti 0.000 0.000 0.000
Os1 Os 0.500 0.500 0.500
N1 N 0.396 0.396 0.396
N2 N 0.604 0.604 0.604
# - final energy (eV/atom) = -27.03
# - total magnetization (μB per formula unit) = 0.008
# - space group = No. 166
# - formation energy (no corrections) (eV per atom) = -0.411



5.
# Ti2OsN | the Alexandria database | SCAN | PBEsol geometry
data_Ti2OsN
_cell_length_a 4.172
_cell_length_b 4.172
_cell_length_c 4.172
_cell_angle_alpha 60.00
_cell_angle_beta 60.00
_cell_angle_gamma 60.00
_space_group_name_H-M_alt 'P 1'
_space_group_IT_number 1
loop_
_space_group_symop_operation_xyz
'x,y,z'
loop_
_atom_site_label
_atom_site_type_symbol
_atom_site_fract_x
_atom_site_fract_y
_atom_site_fract_z
Ti1 Ti 0.250 0.250 0.250
Ti2 Ti 0.750 0.750 0.750
Os1 Os 0.000 0.000 0.000
N1 N 0.500 0.500 0.500
# - final energy (eV/atom) = -28.08
# - total magnetization (μB per formula unit) = 0.000
# - space group = No. 225
# - formation energy (no corrections) (eV per atom) = 0.227



6.
# OsWN2 | the Alexandria database | SCAN | PBEsol geometry
data_OsWN2
_cell_length_a 6.805
_cell_length_b 6.805
_cell_length_c 6.805
_cell_angle_alpha 23.59
_cell_angle_beta 23.59
_cell_angle_gamma 23.59
_space_group_name_H-M_alt 'P 1'
_space_group_IT_number 1
loop_
_space_group_symop_operation_xyz
'x,y,z'
loop_
_atom_site_label
_atom_site_type_symbol
_atom_site_fract_x
_atom_site_fract_y
_atom_site_fract_z
Os1 Os 0.000 0.000 0.000
W1 W 0.500 0.500 0.500
N1 N 0.099 0.099 0.099
N2 N 0.901 0.901 0.901
# - final energy (eV/atom) = -39.83
# - total magnetization (μB per formula unit) = 0.000
# - space group = No. 166
# - formation energy (no corrections) (eV per atom) = 0.207
# - energy above the lowest structure with this stoichiometry (meV/atom) = 0



7.
# ZnOsN3 | the Alexandria database | SCAN | PBEsol geometry
data_ZnOsN3
_cell_length_a 3.844
_cell_length_b 3.844
_cell_length_c 3.844
_cell_angle_alpha 90.00
_cell_angle_beta 90.00
_cell_angle_gamma 90.00
_space_group_name_H-M_alt 'P 1'
_space_group_IT_number 1
loop_
_space_group_symop_operation_xyz
'x,y,z'
loop_
_atom_site_label
_atom_site_type_symbol
_atom_site_fract_x
_atom_site_fract_y
_atom_site_fract_z
Zn1 Zn 0.000 0.000 0.000
Os1 Os 0.500 0.500 0.500
N1 N 0.000 0.500 0.500
N2 N 0.500 0.000 0.500
N3 N 0.500 0.500 0.000
# - final energy (eV/atom) = -21.51
# - total magnetization (μB per formula unit) = 0.000
# - space group = No. 221
# - formation energy (no corrections) (eV per atom) = 1.145



8.
# Zr4Os2N | the Alexandria database | SCAN | PBEsol geometry
data_Zr4Os2N
_cell_length_a 8.698
_cell_length_b 8.698
_cell_length_c 8.698
_cell_angle_alpha 60.00
_cell_angle_beta 60.00
_cell_angle_gamma 60.00
_space_group_name_H-M_alt 'P 1'
_space_group_IT_number 1
loop_
_space_group_symop_operation_xyz
'x,y,z'
loop_
_atom_site_label
_atom_site_type_symbol
_atom_site_fract_x
_atom_site_fract_y
_atom_site_fract_z
Zr1 Zr 0.000 0.000 0.000
Zr2 Zr 0.000 0.000 0.500
Zr3 Zr 0.000 0.500 0.000
Zr4 Zr 0.190 0.190 0.560
Zr5 Zr 0.190 0.560 0.190
Zr6 Zr 0.190 0.560 0.560
Zr7 Zr 0.440 0.440 0.810
Zr8 Zr 0.440 0.810 0.440
Zr9 Zr 0.440 0.810 0.810
Zr10 Zr 0.500 0.000 0.000
Zr11 Zr 0.560 0.190 0.190
Zr12 Zr 0.560 0.190 0.560
Zr13 Zr 0.560 0.560 0.190
Zr14 Zr 0.810 0.440 0.440
Zr15 Zr 0.810 0.440 0.810
Zr16 Zr 0.810 0.810 0.440
Os1 Os 0.134 0.789 0.789
Os2 Os 0.211 0.211 0.211
Os3 Os 0.211 0.211 0.866
Os4 Os 0.211 0.866 0.211
Os5 Os 0.789 0.134 0.789
Os6 Os 0.789 0.789 0.134
Os7 Os 0.789 0.789 0.789
Os8 Os 0.866 0.211 0.211
N1 N 0.000 0.500 0.500
N2 N 0.500 0.000 0.500
N3 N 0.500 0.500 0.000
N4 N 0.500 0.500 0.500
# - final energy (eV/atom) = -40.41
# - total magnetization (μB per formula unit) = 0.000
# - space group = No. 227
# - formation energy (no corrections) (eV per atom) = -1.000



9.
# P3N5 | the Alexandria database | SCAN | PBEsol geometry
data_P3N5
_cell_length_a 5.022
_cell_length_b 5.022
_cell_length_c 9.212
_cell_angle_alpha 110.73
_cell_angle_beta 110.73
_cell_angle_gamma 71.41
_space_group_name_H-M_alt 'P 1'
_space_group_IT_number 1
loop_
_space_group_symop_operation_xyz
'x,y,z'
loop_
_atom_site_label
_atom_site_type_symbol
_atom_site_fract_x
_atom_site_fract_y
_atom_site_fract_z
P1 P 0.017 0.983 0.750
P2 P 0.161 0.570 0.944
P3 P 0.430 0.839 0.556
P4 P 0.570 0.161 0.444
P5 P 0.839 0.430 0.056
P6 P 0.983 0.017 0.250
N1 N 0.000 0.289 0.900
N2 N 0.000 0.711 0.100
N3 N 0.005 0.729 0.808
N4 N 0.271 0.995 0.692
N5 N 0.289 0.000 0.400
N6 N 0.500 0.500 0.000
N7 N 0.500 0.500 0.500
N8 N 0.711 0.000 0.600
N9 N 0.729 0.005 0.308
N10 N 0.995 0.271 0.192
# - final energy (eV/atom) = -10.25
# - total magnetization (μB per formula unit) = 0.000
# - space group = No. 15
# - formation energy (no corrections) (eV per atom) = -0.548
# - energy above the lowest structure with this stoichiometry (meV/atom) = 0



10.
# P3N5 | the Alexandria database | SCAN | PBEsol geometry
data_P3N5
_cell_length_a 6.946
_cell_length_b 6.946
_cell_length_c 6.946
_cell_angle_alpha 158.28
_cell_angle_beta 43.32
_cell_angle_gamma 143.00
_space_group_name_H-M_alt 'P 1'
_space_group_IT_number 1
loop_
_space_group_symop_operation_xyz
'x,y,z'
loop_
_atom_site_label
_atom_site_type_symbol
_atom_site_fract_x
_atom_site_fract_y
_atom_site_fract_z
P1 P 0.000 0.000 0.000
P2 P 0.464 0.145 0.318
P3 P 0.827 0.145 0.682
N1 N 0.194 0.417 0.776
N2 N 0.201 0.701 0.500
N3 N 0.641 0.417 0.224
N4 N 0.671 0.775 0.896
N5 N 0.879 0.775 0.104
# - final energy (eV/atom) = -10.16
# - total magnetization (μB per formula unit) = 0.000
# - space group = No. 44
# - formation energy (no corrections) (eV per atom) = -0.454
# - energy above the lowest structure with this stoichiometry (meV/atom) = 94



11.
# PPdS2N | the Alexandria database | SCAN | PBEsol geometry
data_PPdS2N
_cell_length_a 4.373
_cell_length_b 4.373
_cell_length_c 3.584
_cell_angle_alpha 90.00
_cell_angle_beta 90.00
_cell_angle_gamma 90.00
_space_group_name_H-M_alt 'P 1'
_space_group_IT_number 1
loop_
_space_group_symop_operation_xyz
'x,y,z'
loop_
_atom_site_label
_atom_site_type_symbol
_atom_site_fract_x
_atom_site_fract_y
_atom_site_fract_z
P1 P 0.000 0.000 0.000
Pd1 Pd 0.500 0.500 0.000
S1 S 0.000 0.500 0.500
S2 S 0.500 0.000 0.500
N1 N 0.000 0.000 0.500
# - final energy (eV/atom) = -13.19
# - total magnetization (μB per formula unit) = 0.001
# - space group = No. 123
# - formation energy (no corrections) (eV per atom) = 1.158



12.
# PPdSN2 | the Alexandria database | SCAN | PBEsol geometry
data_PPdSN2
_cell_length_a 3.288
_cell_length_b 3.288
_cell_length_c 6.033
_cell_angle_alpha 90.00
_cell_angle_beta 90.00
_cell_angle_gamma 90.00
_space_group_name_H-M_alt 'P 1'
_space_group_IT_number 1
loop_
_space_group_symop_operation_xyz
'x,y,z'
loop_
_atom_site_label
_atom_site_type_symbol
_atom_site_fract_x
_atom_site_fract_y
_atom_site_fract_z
P1 P 0.000 0.000 0.000
Pd1 Pd 0.500 0.500 0.500
S1 S 0.000 0.000 0.500
N1 N 0.000 0.500 0.000
N2 N 0.500 0.000 0.000
# - final energy (eV/atom) = -13.67
# - total magnetization (μB per formula unit) = 0.000
# - space group = No. 123
# - formation energy (no corrections) (eV per atom) = 0.608



Question: Look up the total magnetization of the third one.
Answer: 1.998 μB per formula unit



Question: The highest final energy belongs to which entry?
Answer: number 10